An optimized crystal structure of TlIrW2. Source: OQMD via LeMat-Bulk, functional PBE.

Values from the calculation:
Magnetization: 0.0 μB per formula unit
Raw total energy: -8.563 eV/atom

Unit cell a=6.493 b=6.493 c=6.493 alpha=90.00 beta=90.00 gamma=90.00
Space group F-43m (No. 216)
Asymmetric unit:
Tl: 0.000 0.000 0.000 x4
Ir: 0.250 0.250 0.250 x4
W: 0.000 0.000 0.500 x4
W: 0.250 0.250 0.750 x4